<a>
First-principles (GGA-PBE) data for Y2Re2N after structural relaxation, as listed in Alexandria via LeMat-Bulk.

a b c (Å): 5.6835 5.6835 5.4035
angles (deg): 90.00 90.00 90.00
Atoms (fractional coordinates):
Y (0.1707, 0.3293, 0.0000)
Y (0.3293, 0.8293, 0.0000)
Y (0.6707, 0.1707, 0.0000)
Y (0.8293, 0.6707, 0.0000)
Re (0.1657, 0.6657, 0.5000)
Re (0.3343, 0.1657, 0.5000)
Re (0.6657, 0.8343, 0.5000)
Re (0.8343, 0.3343, 0.5000)
N (0.0000, 0.0000, 0.5000)
N (0.5000, 0.5000, 0.5000)

Space-group type = P4/mbm
Total magnetic moment = 0.00 μB per atom

=====

<b>
First-principles (GGA-PBE) data for Y2Re2N after structural relaxation, as listed in Alexandria via LeMat-Bulk.

a b c (Å): 5.1664 5.1664 5.1664
angles (deg): 113.17 113.17 102.31
Atoms (fractional coordinates):
Y (0.2500, 0.7500, 0.5000)
Y (0.7500, 0.2500, 0.5000)
Re (0.2047, 0.2047, 0.0000)
Re (0.7953, 0.7953, 0.0000)
N (0.5000, 0.5000, 0.0000)

Space-group type = I4/mmm
Total magnetic moment = 0.00 μB per atom

=====

The relative energies come out as <a> 0.000; <b> 0.212, with values in eV/atom.

=====

<a>
First-principles (GGA-PBE) data for Zn3ReN after structural relaxation, as listed in Alexandria via LeMat-Bulk.

a b c (Å): 4.8824 4.8824 4.8824
angles (deg): 90.00 90.00 90.00
Atoms (fractional coordinates):
Zn (0.0000, 0.0000, 0.5000)
Zn (0.0000, 0.5000, 0.0000)
Zn (0.5000, 0.0000, 0.0000)
Re (0.0000, 0.0000, 0.0000)
N (0.5000, 0.5000, 0.5000)

Space-group type = Pm-3m
Total magnetic moment = 0.39 μB per atom

=====

<b>
First-principles (GGA-PBE) data for Zn3ReN after structural relaxation, as listed in Alexandria via LeMat-Bulk.

a b c (Å): 4.1006 4.1006 4.1006
angles (deg): 90.00 90.00 90.00
Atoms (fractional coordinates):
Zn (0.0000, 0.0000, 0.5000)
Zn (0.0000, 0.5000, 0.0000)
Zn (0.5000, 0.0000, 0.0000)
Re (0.5000, 0.5000, 0.5000)
N (0.0000, 0.0000, 0.0000)

Space-group type = Pm-3m
Total magnetic moment = 0.42 μB per atom

=====

The relative energies come out as <a> 1.238; <b> 0.000, with values in eV/atom.